1.
Here is a relaxed structure of LaFeP2 from the Alexandria database. Energies are from GGA-PBE.

Computed properties:
Space group: F-43m (216)
Excess energy over the best structure of this formula in the dataset: 973 meV/atom
Energy relative to the elements: 103 meV per atom
Magnetization: 2.316 μB per formula unit

a b c (Å): 4.6944 4.6944 4.6944
angles (deg): 60.00 60.00 60.00
Each line ends with the local moment (μB).
Fractional positions:
1 La 0.7500 0.7500 0.7500  -0.08
2 Fe 0.5000 0.5000 0.5000  2.45
3 P 0.2500 0.2500 0.2500  -0.03
4 P 0.0000 0.0000 0.0000  0.03

=====

2.
Here is a relaxed structure of TiVTcSn from the Alexandria database. Energies are from GGA-PBE.

Computed properties:
Space group: F-43m (216)
Energy relative to the elements: -192 meV per atom
Magnetization: 2.033 μB per formula unit

a b c (Å): 4.5175 4.5175 4.5175
angles (deg): 60.00 60.00 60.00
Each line ends with the local moment (μB).
Fractional positions:
1 Tc 0.5000 0.5000 0.5000  -0.20
2 Sn 0.7500 0.7500 0.7500  -0.02
3 Ti 0.2500 0.2500 0.2500  0.10
4 V 0.0000 0.0000 0.0000  1.86

=====

3.
Here is a relaxed structure of Cs3Rb5Hg12 from the Alexandria database. Energies are from GGA-PBE.

Computed properties:
Space group: Ia-3d (230)
Energy relative to the elements: -132 meV per atom
Magnetization: 0.000 μB per formula unit

a b c (Å): 18.3655 18.3655 18.3655
angles (deg): 109.47 109.47 109.47
Fractional positions:
1 Cs 0.7500 0.8750 0.6250
2 Cs 0.2500 0.1250 0.3750
3 Cs 0.3750 0.7500 0.6250
4 Cs 0.1250 0.8750 0.7500
5 Cs 0.6250 0.3750 0.7500
6 Cs 0.6250 0.2500 0.3750
7 Cs 0.8750 0.7500 0.1250
8 Cs 0.3750 0.6250 0.2500
9 Cs 0.1250 0.2500 0.8750
10 Cs 0.8750 0.1250 0.2500
11 Cs 0.7500 0.3750 0.1250
12 Cs 0.2500 0.6250 0.8750
13 Hg 0.3686 0.5978 0.4332
14 Hg 0.2708 0.8354 0.9022
15 Hg 0.9332 0.0646 0.8354
16 Hg 0.2292 0.6314 0.0646
17 Hg 0.5668 0.6646 0.4354
18 Hg 0.6646 0.5668 0.9354
19 Hg 0.5668 0.9022 0.6314
20 Hg 0.1646 0.4354 0.0668
21 Hg 0.0646 0.9332 0.3354
22 Hg 0.9354 0.8686 0.7708
23 Hg 0.4354 0.1646 0.5668
24 Hg 0.4332 0.3354 0.5646
25 Hg 0.7292 0.5646 0.1314
26 Hg 0.8354 0.2708 0.4022
27 Hg 0.4332 0.0978 0.3686
28 Hg 0.9022 0.5668 0.1314
29 Hg 0.6646 0.0978 0.2292
30 Hg 0.5978 0.3686 0.9332
31 Hg 0.9354 0.0668 0.6646
32 Hg 0.7292 0.1646 0.0978
33 Hg 0.1646 0.7292 0.5978
34 Hg 0.7708 0.3686 0.9354
35 Hg 0.8686 0.9332 0.0978
36 Hg 0.7708 0.4022 0.3354
37 Hg 0.6314 0.4022 0.5668
38 Hg 0.9332 0.8686 0.5978
39 Hg 0.3686 0.7708 0.4354
40 Hg 0.1314 0.0646 0.7292
41 Hg 0.3354 0.9022 0.7708
42 Hg 0.0978 0.4332 0.8686
43 Hg 0.2292 0.5978 0.6646
44 Hg 0.5646 0.7292 0.6314
45 Hg 0.5978 0.2292 0.1646
46 Hg 0.0668 0.9354 0.1646
47 Hg 0.1314 0.0668 0.9022
48 Hg 0.5646 0.8354 0.4332
49 Hg 0.6314 0.2292 0.5646
50 Hg 0.9022 0.3354 0.2708
51 Hg 0.4354 0.2708 0.3686
52 Hg 0.0668 0.1314 0.4022
53 Hg 0.4022 0.7708 0.8354
54 Hg 0.2708 0.4354 0.8686
55 Hg 0.3354 0.4332 0.0646
56 Hg 0.4022 0.6314 0.0668
57 Hg 0.0978 0.6646 0.7292
58 Hg 0.8686 0.9354 0.2708
59 Hg 0.0646 0.1314 0.2292
60 Hg 0.8354 0.5646 0.9332
61 Rb 0.2500 0.3750 0.6250
62 Rb 0.7500 0.1250 0.8750
63 Rb 0.1250 0.3750 0.2500
64 Rb 0.0000 0.0000 0.0000
65 Rb 0.8750 0.6250 0.7500
66 Rb 0.3750 0.1250 0.7500
67 Rb 0.3750 0.2500 0.1250
68 Rb 0.0000 0.5000 0.5000
69 Rb 0.5000 0.5000 0.5000
70 Rb 0.5000 0.0000 0.0000
71 Rb 0.6250 0.7500 0.8750
72 Rb 0.0000 0.5000 0.0000
73 Rb 0.5000 0.0000 0.5000
74 Rb 0.7500 0.6250 0.3750
75 Rb 0.5000 0.5000 0.0000
76 Rb 0.6250 0.8750 0.2500
77 Rb 0.2500 0.8750 0.1250
78 Rb 0.0000 0.0000 0.5000
79 Rb 0.1250 0.7500 0.3750
80 Rb 0.8750 0.2500 0.6250

=====

4.
Here is a relaxed structure of Th2Ge7Pd12 from the Alexandria database. Energies are from GGA-PBE.

Computed properties:
Space group: P-3 (147)
Energy relative to the elements: -668 meV per atom
Magnetization: 0.000 μB per formula unit

a b c (Å): 4.0046 10.2282 10.2282
angles (deg): 120.00 90.00 90.00
Fractional positions:
1 Pd 0.2482 0.6193 0.0615
2 Pd 0.7550 0.8553 0.1139
3 Pd 0.2450 0.7415 0.8553
4 Pd 0.2482 0.9385 0.5577
5 Pd 0.7550 0.8861 0.7415
6 Pd 0.7518 0.0615 0.4423
7 Pd 0.2450 0.1447 0.8861
8 Pd 0.2482 0.4423 0.3807
9 Pd 0.7518 0.5577 0.6193
10 Pd 0.7550 0.2585 0.1447
11 Pd 0.2450 0.1139 0.2585
12 Pd 0.7518 0.3807 0.9385
13 Th 0.2448 0.3333 0.6667
14 Th 0.7552 0.6667 0.3333
15 Ge 0.7476 0.5954 0.8839
16 Ge 0.7476 0.2885 0.4046
17 Ge 0.2524 0.4046 0.1161
18 Ge 0.7476 0.1161 0.7115
19 Ge 0.5000 0.0000 0.0000
20 Ge 0.2524 0.8839 0.2885
21 Ge 0.2524 0.7115 0.5954

=====

5.
Here is a relaxed structure of UPd2S4 from the Alexandria database. Energies are from GGA-PBE.

Computed properties:
Raw formation energy: -0.662 eV per atom
Space group: Fddd (70)
Excess energy over the best structure of this formula in the dataset: 102 meV/atom
Magnetization: 1.664 μB per formula unit

a b c (Å): 6.8471 6.8500 7.4755
angles (deg): 105.41 105.40 114.88
Each line ends with the local moment (μB).
Fractional positions:
1 U 0.9999 0.9999 0.9999  1.69
2 U 0.2501 0.7502 0.5001  1.69
3 S 0.9015 0.2470 0.2727  -0.03
4 S 0.4972 0.6516 0.7726  -0.03
5 S 0.7529 0.0986 0.7274  -0.03
6 S 0.3484 0.5029 0.2274  -0.03
7 S 0.9746 0.6289 0.7272  -0.03
8 S 0.8787 0.7241 0.2271  -0.03
9 S 0.2756 0.1213 0.7727  -0.03
10 S 0.3712 0.0256 0.2728  -0.03
11 Pd 0.1251 0.3752 0.7501  0.01
12 Pd 0.6250 0.3750 0.2502  0.01
13 Pd 0.6250 0.3750 0.7499  0.01
14 Pd 0.6248 0.8748 0.2497  0.01

=====

6.
Here is a relaxed structure of SrHoTcO6 from the Alexandria database. Energies are from GGA-PBE.

Computed properties:
Raw formation energy: -2.295 eV per atom
Space group: P312 (149)
Magnetization: 0.000 μB per formula unit

a b c (Å): 5.5369 5.5370 5.2529
angles (deg): 90.00 90.00 60.00
Fractional positions:
1 O 0.0433 0.3474 0.2930
2 O 0.6093 0.0434 0.2930
3 O 0.3473 0.6093 0.2930
4 O 0.6093 0.3474 0.7069
5 O 0.0434 0.6093 0.7069
6 O 0.3473 0.0434 0.7069
7 Ho 0.6666 0.6667 0.5000
8 Sr 0.0000 0.0000 0.0000
9 Tc 0.3333 0.3333 0.5000

=====

7.
Here is a relaxed structure of Ba3SrMg2Si4O14 from the Alexandria database. Energies are from GGA-PBE.

Computed properties:
Raw formation energy: -2.966 eV per atom
Space group: Cm (8)
Magnetization: 0.000 μB per formula unit

a b c (Å): 8.2632 8.2632 5.4050
angles (deg): 89.64 89.64 90.63
Fractional positions:
1 O 0.8092 0.4275 0.8106
2 O 0.6885 0.9147 0.1917
3 O 0.1979 0.5795 0.8312
4 O 0.9147 0.6885 0.1917
5 O 0.8483 0.8483 0.7514
6 O 0.9950 0.9950 0.1377
7 O 0.5795 0.1979 0.8312
8 O 0.3738 0.6442 0.2528
9 O 0.3024 0.0751 0.1758
10 O 0.1375 0.1375 0.7423
11 O 0.0751 0.3024 0.1758
12 O 0.5063 0.5063 0.8452
13 O 0.4275 0.8092 0.8106
14 O 0.6442 0.3738 0.2528
15 Mg 0.5004 0.9988 0.0029
16 Mg 0.9988 0.5004 0.0029
17 Si 0.6409 0.3706 0.9527
18 Si 0.8555 0.8555 0.0510
19 Si 0.3706 0.6409 0.9527
20 Si 0.1338 0.1338 0.0421
21 Ba 0.8325 0.1643 0.5091
22 Ba 0.3365 0.3365 0.4860
23 Ba 0.1643 0.8325 0.5091
24 Sr 0.6663 0.6663 0.4909

=====

8.
Here is a relaxed structure of PrNdMgBi from the Alexandria database. Energies are from GGA-PBE.

Computed properties:
Space group: F-43m (216)
Energy relative to the elements: -377 meV per atom
Magnetization: 0.000 μB per formula unit

a b c (Å): 5.5722 5.5722 5.5722
angles (deg): 60.00 60.00 60.00
Fractional positions:
1 Pr 0.7500 0.7500 0.7500
2 Nd 0.2500 0.2500 0.2500
3 Bi 0.5000 0.5000 0.5000
4 Mg 0.0000 0.0000 0.0000